Entry 1:
{"formula": "LiLuTlGe", "functional": "PBE-GGA", "state": "relaxed", "final_energy_ev_per_atom": -3.657, "crystal_system": "cubic", "m_tot_mub_per_cell": 0.00, "lattice": [[0.0000, 3.5217, 3.5217], [3.5217, 0.0000, 3.5217], [3.5217, 3.5217, 0.0000]], "species": ["Li", "Lu", "Tl", "Ge"], "frac_coords": [[0.0000, 0.0000, 0.0000], [0.5000, 0.5000, 0.5000], [0.2500, 0.2500, 0.2500], [0.7500, 0.7500, 0.7500]]}

---

Entry 2:
{"formula": "Cu2PdBr4", "functional": "PBE-GGA", "state": "relaxed", "final_energy_ev_per_atom": -3.144, "crystal_system": "tetragonal", "e_above_lowest_polymorph_ev_per_fu": 0.000, "m_tot_mub_per_cell": 0.00, "lattice": [[-3.9092, 3.9092, 3.2624], [3.9092, -3.9092, 3.2624], [3.9092, 3.9092, -3.2624]], "species": ["Cu", "Cu", "Pd", "Br", "Br", "Br", "Br"], "frac_coords": [[0.2500, 0.7500, 0.5000], [0.7500, 0.2500, 0.5000], [0.0000, 0.0000, 0.0000], [0.1207, 0.2972, 0.4180], [0.2972, 0.8793, 0.1765], [0.7028, 0.1207, 0.8235], [0.8793, 0.7028, 0.5820]]}

---

Entry 3:
{"formula": "YTcW", "functional": "PBE-GGA", "state": "relaxed", "final_energy_ev_per_atom": -9.810, "crystal_system": "tetragonal", "e_above_lowest_polymorph_ev_per_fu": 0.493, "m_tot_mub_per_cell": 0.00, "lattice": [[-1.6123, 1.6123, 5.5023], [1.6123, -1.6123, 5.5023], [1.6123, 1.6123, -5.5023]], "species": ["Y", "Tc", "W"], "frac_coords": [[0.0000, 0.0000, 0.0000], [0.6865, 0.6865, 0.0000], [0.3076, 0.3076, 0.0000]]}

---

Entry 4:
{"formula": "SrGa2Au2", "functional": "PBE-GGA", "state": "relaxed", "final_energy_ev_per_atom": -3.456, "crystal_system": "tetragonal", "e_above_lowest_polymorph_ev_per_fu": 0.000, "m_tot_mub_per_cell": 0.00, "lattice": [[4.5523, 0.0000, 0.0000], [0.0000, 4.5523, 0.0000], [0.0000, 0.0000, 10.6852]], "species": ["Sr", "Sr", "Ga", "Ga", "Ga", "Ga", "Au", "Au", "Au", "Au"], "frac_coords": [[0.2500, 0.2500, 0.2497], [0.7500, 0.7500, 0.7503], [0.2500, 0.2500, 0.6259], [0.2500, 0.7500, 0.0000], [0.7500, 0.2500, 0.0000], [0.7500, 0.7500, 0.3741], [0.2500, 0.2500, 0.8684], [0.2500, 0.7500, 0.5000], [0.7500, 0.2500, 0.5000], [0.7500, 0.7500, 0.1316]]}

---

Entry 5:
{"formula": "Mg2VNi", "functional": "PBE-GGA", "state": "relaxed", "final_energy_ev_per_atom": -3.966, "crystal_system": "tetragonal", "e_above_lowest_polymorph_ev_per_fu": 1.098, "m_tot_mub_per_cell": 5.87, "lattice": [[-3.6621, 3.6621, 2.6640], [3.6621, -3.6621, 2.6640], [3.6621, 3.6621, -2.6640]], "species": ["Mg", "Mg", "Mg", "Mg", "V", "V", "Ni", "Ni"], "frac_coords": [[0.0797, 0.6250, 0.9547], [0.3750, 0.3297, 0.4547], [0.6703, 0.1250, 0.0453], [0.8750, 0.9203, 0.5453], [0.2500, 0.7500, 0.5000], [0.5000, 0.5000, 0.0000], [0.0000, 0.0000, 0.0000], [0.7500, 0.2500, 0.5000]]}

---

Entry 6:
{"formula": "La2Pm4Nd", "functional": "PBE-GGA", "state": "relaxed", "final_energy_ev_per_atom": -4.591, "crystal_system": "tetragonal", "e_above_lowest_polymorph_ev_per_fu": 0.175, "m_tot_mub_per_cell": 0.00, "lattice": [[-2.3401, 2.3401, 11.5855], [2.3401, -2.3401, 11.5855], [2.3401, 2.3401, -11.5855]], "species": ["La", "La", "Pm", "Pm", "Pm", "Pm", "Nd"], "frac_coords": [[0.0975, 0.0975, 0.0000], [0.9025, 0.9025, 0.0000], [0.2500, 0.7500, 0.5000], [0.3616, 0.3616, 0.0000], [0.6384, 0.6384, 0.0000], [0.7500, 0.2500, 0.5000], [0.5000, 0.5000, 0.0000]]}

---

Entry 7:
{"formula": "CeNpScO6", "functional": "PBE-GGA", "state": "relaxed", "final_energy_ev_per_atom": -9.307, "crystal_system": "trigonal", "m_tot_mub_per_cell": 4.01, "lattice": [[5.5631, 0.0000, 0.0000], [-2.7816, 4.8178, 0.0000], [0.0000, 0.0000, 9.8029]], "species": ["Ce", "Ce", "Np", "Np", "Sc", "Sc", "O", "O", "O", "O", "O", "O", "O", "O", "O", "O", "O", "O"], "frac_coords": [[0.0000, 0.0000, 0.0000], [0.0000, 0.0000, 0.5000], [0.3333, 0.6667, 0.2500], [0.6667, 0.3333, 0.7500], [0.3333, 0.6667, 0.7500], [0.6667, 0.3333, 0.2500], [0.0037, 0.3524, 0.1374], [0.0037, 0.6513, 0.3626], [0.3487, 0.3524, 0.3626], [0.3487, 0.9963, 0.1374], [0.3524, 0.0037, 0.6374], [0.3524, 0.3487, 0.8626], [0.6476, 0.6513, 0.1374], [0.6476, 0.9963, 0.3626], [0.6513, 0.0037, 0.8626], [0.6513, 0.6476, 0.6374], [0.9963, 0.3487, 0.6374], [0.9963, 0.6476, 0.8626]]}

---

Entry 8:
{"formula": "ScCdCl2", "functional": "PBE-GGA", "state": "relaxed", "final_energy_ev_per_atom": -3.726, "crystal_system": "tetragonal", "e_above_lowest_polymorph_ev_per_fu": 1.168, "m_tot_mub_per_cell": 0.82, "lattice": [[3.3507, 0.0000, 0.0000], [0.0000, 3.3507, 0.0000], [0.0000, 0.0000, 8.1220]], "species": ["Sc", "Cd", "Cl", "Cl"], "frac_coords": [[0.0000, 0.0000, 0.0000], [0.5000, 0.5000, 0.2731], [0.0000, 0.0000, 0.4684], [0.5000, 0.5000, 0.8368]]}

---

Please write out number 5 again, unchanged.
{"formula": "Mg2VNi", "functional": "PBE-GGA", "state": "relaxed", "final_energy_ev_per_atom": -3.966, "crystal_system": "tetragonal", "e_above_lowest_polymorph_ev_per_fu": 1.098, "m_tot_mub_per_cell": 5.87, "lattice": [[-3.6621, 3.6621, 2.6640], [3.6621, -3.6621, 2.6640], [3.6621, 3.6621, -2.6640]], "species": ["Mg", "Mg", "Mg", "Mg", "V", "V", "Ni", "Ni"], "frac_coords": [[0.0797, 0.6250, 0.9547], [0.3750, 0.3297, 0.4547], [0.6703, 0.1250, 0.0453], [0.8750, 0.9203, 0.5453], [0.2500, 0.7500, 0.5000], [0.5000, 0.5000, 0.0000], [0.0000, 0.0000, 0.0000], [0.7500, 0.2500, 0.5000]]}